[1]
Tb8SiS6 PBE-GGA optimized geometry; symmetry = P-3, No. 147; energy relative to the elements, uncorrected = -1.488 eV per atom
1.0
3.9595 0.0000 0.0000
0.0000 8.7491 -5.0513
0.0000 0.0000 10.1026
S Tb Si
6 8 1
direct
0.7509 0.4819 0.3483
0.7509 0.6517 0.1336
0.7509 0.8664 0.5181
0.2491 0.5181 0.6517
0.2491 0.3483 0.8664
0.2491 0.1336 0.4819
0.7450 0.9678 0.2911
0.7450 0.7089 0.6767
0.2550 0.2911 0.3233
0.2519 0.6667 0.3333
0.2550 0.0322 0.7089
0.2550 0.6767 0.9678
0.7450 0.3233 0.0322
0.7481 0.3333 0.6667
0.5000 0.0000 0.0000

***

[2]
La7Pr3Ho2 PBE-GGA optimized geometry; symmetry = P2/m, No. 10; ΔE_f = 83 meV/atom
1.0
3.6475 0.0000 0.0000
0.0000 6.0262 -0.2732
0.0000 -3.8841 19.7771
Pr La Ho
3 7 2
direct
0.5000 0.5000 0.0000
0.0000 0.1405 0.3638
0.0000 0.8595 0.6362
0.0000 0.0000 0.0000
0.5000 0.7224 0.4664
0.0000 0.4687 0.1471
0.0000 0.5313 0.8529
0.5000 0.2776 0.5336
0.5000 0.9978 0.8167
0.5000 0.0022 0.1833
0.5000 0.5849 0.2971
0.5000 0.4151 0.7029

***

[3]
TbPrIn2Te4 PBE-GGA optimized geometry; symmetry = P2/m, No. 10; energy relative to the elements, uncorrected = -0.983 eV per atom
1.0
4.4864 0.0000 0.0000
0.0000 8.4995 -0.4265
0.0000 2.7326 7.2835
Pr Te In Tb
1 4 2 1
direct
0.5000 0.5000 0.0000
0.5000 0.7222 0.2671
0.5000 0.2778 0.7329
0.0000 0.7268 0.7499
0.0000 0.2732 0.2501
0.0000 0.0000 0.0000
0.5000 0.0000 0.5000
0.0000 0.5000 0.5000